No. 1
BaNa6Hg6 | GGA-PBE | optimized geometry

Cell: 8.369 8.369 8.369 Å, 137.06 100.28 95.13°
Fractional coordinates of all 13 atoms:
Ba1 0.000 0.000 0.000
Na1 0.207 0.707 0.500
Na2 0.341 0.000 0.341
Na3 0.355 0.355 0.000
Na4 0.645 0.645 0.000
Na5 0.659 0.000 0.659
Na6 0.793 0.293 0.500
Hg1 0.000 0.000 0.500
Hg2 0.000 0.500 0.000
Hg3 0.203 0.500 0.703
Hg4 0.500 0.000 0.000
Hg5 0.500 0.500 0.500
Hg6 0.797 0.500 0.297

## Properties
Final energy in eV/atom: -1.123
Symmetry: Immm (71)
DFT formation energy in eV per atom: -0.2270

=====

No. 2
Ba2NaHg6 | GGA-PBE | optimized geometry

Cell: 7.174 7.174 6.275 Å, 90.06 90.06 59.93°
Fractional coordinates of all 9 atoms:
Ba1 0.167 0.167 0.169
Ba2 0.833 0.833 0.831
Na1 0.500 0.500 0.000
Hg1 0.138 0.681 0.325
Hg2 0.318 0.318 0.675
Hg3 0.319 0.862 0.675
Hg4 0.681 0.138 0.325
Hg5 0.682 0.682 0.325
Hg6 0.862 0.319 0.675

## Properties
Polymorph energy (0 for the lowest one) in meV/atom: 15
Final energy in eV/atom: -1.155
Symmetry: C2/m (12)
DFT formation energy in eV per atom: -0.3804

=====

No. 3
Ba2NaHg4 | GGA-PBE | optimized geometry

Cell: 9.675 9.675 9.675 Å, 34.07 34.07 34.07°
Fractional coordinates of all 7 atoms:
Ba1 0.249 0.249 0.249
Ba2 0.751 0.751 0.751
Na1 0.000 0.000 0.000
Hg1 0.122 0.122 0.122
Hg2 0.375 0.375 0.375
Hg3 0.625 0.625 0.625
Hg4 0.878 0.878 0.878

## Properties
Polymorph energy (0 for the lowest one) in meV/atom: 0
Final energy in eV/atom: -1.238
Symmetry: R-3m (166)
DFT formation energy in eV per atom: -0.3280

=====

- Number 1 is which compound?
  BaNa6Hg6